A plane-wave DFT calculation with GGA-PBE was carried out for a geometry-optimized Sc4Zn3Tc structure.

Unit cell a=3.325 b=3.325 c=13.330 alpha=90.00 beta=90.00 gamma=90.00
Atoms (fractional coordinates):
Sc  0.000  0.000  0.887
Sc  0.000  0.000  0.627
Sc  0.000  0.000  0.373
Sc  0.000  0.000  0.113
Zn  0.500  0.500  0.244
Zn  0.500  0.500  0.500
Zn  0.500  0.500  0.756
Tc  0.500  0.500  0.000

Summary:
E_tot ... -5.284 eV/atom
SG ... P4/mmm, No. 123
Formation energy from the elements ... -0.35 eV/atom

***

A plane-wave DFT calculation with GGA-PBE was carried out for a geometry-optimized GdAgTe2 structure.

Unit cell a=3.990 b=3.990 c=9.742 alpha=78.18 beta=78.18 gamma=60.00
Site moments in Bohr magnetons follow the coordinates.
Atoms (fractional coordinates):
Te  0.105  0.105  0.685  -0.03
Te  0.895  0.895  0.315  -0.03
Gd  0.000  0.000  0.000  7.12
Ag  0.500  0.500  0.500  -0.01

Summary:
E_tot ... -5.851 eV/atom
SG ... R-3m, No. 166

***

A plane-wave DFT calculation with GGA-PBE was carried out for a geometry-optimized Cs2SiWI6 structure.

Unit cell a=8.299 b=8.299 c=8.329 alpha=60.12 beta=60.12 gamma=90.00
Site moments in Bohr magnetons follow the coordinates.
Atoms (fractional coordinates):
I  0.756  0.244  0.000  0.01
I  0.244  0.244  0.000  0.01
I  0.244  0.756  0.000  0.01
I  0.756  0.756  0.000  0.01
I  0.757  0.757  0.486  0.01
I  0.243  0.243  0.514  0.01
Cs  0.250  0.750  0.500  0.00
Cs  0.750  0.250  0.500  0.00
W  0.000  0.000  0.000  2.52
Si  0.500  0.500  0.000  0.17

Summary:
E_tot ... -3.345 eV/atom
SG ... I4/mmm, No. 139

***

A plane-wave DFT calculation with GGA-PBE was carried out for a geometry-optimized EuGd2Ag structure.

Unit cell a=5.421 b=5.421 c=5.421 alpha=60.00 beta=60.00 gamma=60.00
Site moments in Bohr magnetons follow the coordinates.
Atoms (fractional coordinates):
Ag  0.500  0.500  0.500  0.02
Eu  0.000  0.000  0.000  7.09
Gd  0.750  0.750  0.750  7.37
Gd  0.250  0.250  0.250  7.37

Summary:
E_tot ... -10.273 eV/atom
SG ... Fm-3m, No. 225
Energy above the lowest structure with this stoichiometry ... 4 meV/atom
Formation energy from the elements ... 0.05 eV/atom